TlInPCl2 | PBE-GGA | optimized geometry

Cell: 5.376 5.376 5.201 Å, 90.00 90.00 90.00°
Last column: magnetic moment on the atom in μB.
Fractional coordinates of all 5 atoms:
P 0.000 0.000 0.500  0.47
Tl 0.500 0.500 0.500  0.01
Cl 0.000 0.500 0.000  0.03
Cl 0.500 0.000 0.000  0.03
In 0.000 0.000 0.000  -0.02

Output
Distance to the lowest polymorph of the same formula, meV/atom: 0.0
Uncorrected formation energy, eV/atom: -0.28
D(E_F), states/eV per atom: 0.649

***

ZrSi | PBE-GGA | optimized geometry

Cell: 9.152 9.152 5.291 Å, 90.00 90.00 90.00°
Fractional coordinates of all 16 atoms:
Zr 0.359 0.859 0.000
Zr 0.359 0.141 0.500
Zr 0.641 0.859 0.500
Zr 0.641 0.141 0.000
Zr 0.141 0.641 0.500
Zr 0.141 0.359 0.000
Zr 0.859 0.641 0.000
Zr 0.859 0.359 0.500
Si 0.847 0.347 0.000
Si 0.847 0.653 0.500
Si 0.153 0.347 0.500
Si 0.153 0.653 0.000
Si 0.653 0.153 0.500
Si 0.653 0.847 0.000
Si 0.347 0.153 0.000
Si 0.347 0.847 0.500

Output
Uncorrected formation energy, eV/atom: -0.21
D(E_F), states/eV per atom: 0.212

***

Co2B2Au | PBE-GGA | optimized geometry

Cell: 3.474 3.474 4.849 Å, 69.01 69.01 90.00°
Last column: magnetic moment on the atom in μB.
Fractional coordinates of all 5 atoms:
Co 0.750 0.250 0.500  0.39
Co 0.250 0.750 0.500  0.39
B 0.389 0.389 0.222  -0.03
B 0.611 0.611 0.778  -0.03
Au 0.000 0.000 0.000  0.01

Output
ΔE_f, eV per formula unit: 0.525
D(E_F), states/eV per atom: 0.849

***

Mg2AgSb | PBE-GGA | optimized geometry

Cell: 4.738 4.738 6.248 Å, 79.41 79.41 41.22°
Fractional coordinates of all 4 atoms:
Ag 0.750 0.750 0.750
Mg 0.006 0.006 0.968
Mg 0.494 0.494 0.532
Sb 0.250 0.250 0.250

Output
Distance to the lowest polymorph of the same formula, meV/atom: 73.1
Uncorrected formation energy, eV/atom: -0.12
D(E_F), states/eV per atom: 0.318

***

Ca2TbPm | PBE-GGA | optimized geometry

Cell: 5.895 5.895 5.895 Å, 60.00 60.00 60.00°
Fractional coordinates of all 4 atoms:
Ca 0.250 0.250 0.250
Ca 0.750 0.750 0.750
Tb 0.000 0.000 0.000
Pm 0.500 0.500 0.500

Output
Distance to the lowest polymorph of the same formula, meV/atom: 108.1
ΔE_f, eV per formula unit: 0.616
D(E_F), states/eV per atom: 1.455

***

ErUSeS2 | PBE-GGA | optimized geometry

Cell: 4.321 4.321 7.294 Å, 107.23 107.23 90.00°
Last column: magnetic moment on the atom in μB.
Fractional coordinates of all 5 atoms:
Er 0.863 0.863 0.726  0.23
U 0.127 0.127 0.255  2.58
Se 0.508 0.508 0.016  -0.06
S 0.751 0.251 0.502  -0.04
S 0.251 0.751 0.502  -0.04

Output
Uncorrected formation energy, eV/atom: -1.20
D(E_F), states/eV per atom: 1.723

***

CaSb2Pt | PBE-GGA | optimized geometry

Cell: 5.090 5.090 5.090 Å, 60.00 60.00 60.00°
Fractional coordinates of all 4 atoms:
Sb 0.250 0.250 0.250
Sb 0.750 0.750 0.750
Ca 0.000 0.000 0.000
Pt 0.500 0.500 0.500

Output
Uncorrected formation energy, eV/atom: -0.28
D(E_F), states/eV per atom: 0.723

***

Zr2MnAu | PBE-GGA | optimized geometry

Cell: 5.278 5.278 4.975 Å, 75.87 75.87 35.30°
Last column: magnetic moment on the atom in μB.
Fractional coordinates of all 4 atoms:
Au 0.514 0.514 0.515  -0.02
Mn 0.242 0.242 0.228  3.04
Zr 0.983 0.983 0.046  -0.42
Zr 0.761 0.761 0.711  -0.42

Output
Distance to the lowest polymorph of the same formula, meV/atom: 175.2
ΔE_f, eV per formula unit: -0.499
D(E_F), states/eV per atom: 1.107

***

AlRuBr3 | PBE-GGA | optimized geometry

Cell: 5.124 5.124 5.124 Å, 90.00 90.00 90.00°
Last column: magnetic moment on the atom in μB.
Fractional coordinates of all 5 atoms:
Al 0.500 0.500 0.500  0.01
Ru 0.000 0.000 0.000  0.81
Br 0.000 0.500 0.000  0.03
Br 0.000 0.000 0.500  0.03
Br 0.500 0.000 0.000  0.03

Output
Distance to the lowest polymorph of the same formula, meV/atom: 0.0
Uncorrected formation energy, eV/atom: 0.16
D(E_F), states/eV per atom: 1.121

***

Ca2ScMo | PBE-GGA | optimized geometry

Cell: 3.106 5.091 6.316 Å, 90.00 90.00 90.00°
Fractional coordinates of all 4 atoms:
Sc 0.500 0.500 0.750
Mo 0.500 0.500 0.250
Ca 0.000 0.000 0.017
Ca 0.000 0.000 0.483

Output
Distance to the lowest polymorph of the same formula, meV/atom: 346.0
ΔE_f, eV per formula unit: 2.748
D(E_F), states/eV per atom: 1.507

***

Sc5In4Pt | PBE-GGA | optimized geometry

Cell: 3.314 3.314 19.750 Å, 90.00 90.00 90.00°
Last column: magnetic moment on the atom in μB.
Fractional coordinates of all 10 atoms:
Sc 0.500 0.500 0.082  0.03
Sc 0.500 0.500 0.291  -0.22
Sc 0.500 0.500 0.500  0.26
Sc 0.500 0.500 0.709  -0.22
Sc 0.500 0.500 0.918  0.03
In 0.000 0.000 0.187  0.00
In 0.000 0.000 0.396  0.00
In 0.000 0.000 0.604  0.00
In 0.000 0.000 0.813  0.00
Pt 0.000 0.000 0.000  0.00

Output
ΔE_f, eV per formula unit: -5.983
D(E_F), states/eV per atom: 0.589

***

PmPu5Pt6 | PBE-GGA | optimized geometry

Cell: 4.977 7.043 8.638 Å, 114.06 106.74 90.00°
Last column: magnetic moment on the atom in μB.
Fractional coordinates of all 12 atoms:
Pu 0.669 0.169 0.338  5.26
Pu 0.334 0.334 0.668  5.27
Pu 0.000 0.500 0.000  5.26
Pu 0.666 0.666 0.332  5.27
Pu 0.331 0.831 0.662  5.26
Pt 0.833 0.583 0.667  -0.04
Pt 0.833 0.084 0.667  -0.04
Pt 0.500 0.750 0.000  -0.02
Pt 0.500 0.250 0.000  -0.02
Pt 0.167 0.916 0.333  -0.04
Pt 0.167 0.417 0.333  -0.04
Pm 0.000 0.000 0.000  0.14

Output
ΔE_f, eV per formula unit: -9.415
D(E_F), states/eV per atom: 4.097

***

AcTbNd5Y2 | PBE-GGA | optimized geometry

Cell: 5.869 9.302 12.266 Å, 90.00 90.00 108.39°
Fractional coordinates of all 18 atoms:
Ac 0.616 0.231 0.924
Ac 0.384 0.769 0.424
Tb 0.748 0.495 0.424
Tb 0.252 0.505 0.924
Nd 0.421 0.842 0.087
Nd 0.767 0.535 0.719
Nd 0.422 0.845 0.766
Nd 0.232 0.464 0.630
Nd 0.938 0.876 0.572
Nd 0.579 0.158 0.587
Nd 0.233 0.465 0.219
Nd 0.578 0.155 0.266
Nd 0.768 0.536 0.130
Nd 0.062 0.124 0.072
Y 0.887 0.775 0.925
Y 0.062 0.125 0.777
Y 0.113 0.225 0.425
Y 0.938 0.875 0.277

Output
ΔE_f, eV per formula unit: 0.713
D(E_F), states/eV per atom: 1.540

***

InRe2PdF | PBE-GGA | optimized geometry

Cell: 5.167 4.147 5.167 Å, 90.00 90.00 90.00°
Last column: magnetic moment on the atom in μB.
Fractional coordinates of all 5 atoms:
Re 0.000 0.000 0.500  2.77
Re 0.500 0.000 0.000  2.52
F 0.000 0.500 0.000  0.05
Pd 0.500 0.500 0.500  0.22
In 0.000 0.000 0.000  -0.03

Output
Uncorrected formation energy, eV/atom: 1.81
D(E_F), states/eV per atom: 1.164

***

Pa2GaSi3Pd4 | PBE-GGA | optimized geometry

Cell: 4.195 4.195 10.009 Å, 90.00 90.00 90.00°
Fractional coordinates of all 10 atoms:
Pa 0.500 0.000 0.248
Pa 0.000 0.500 0.752
Ga 0.500 0.500 0.500
Si 0.000 0.000 0.500
Si 0.500 0.000 0.868
Si 0.000 0.500 0.132
Pd 0.500 0.500 0.000
Pd 0.000 0.000 0.000
Pd 0.500 0.000 0.632
Pd 0.000 0.500 0.368

Output
Uncorrected formation energy, eV/atom: -0.72
D(E_F), states/eV per atom: 0.633

***

Zr2AlZn | PBE-GGA | optimized geometry

Cell: 10.178 10.178 10.178 Å, 17.06 17.06 17.06°
Fractional coordinates of all 4 atoms:
Zn 0.755 0.755 0.755
Al 0.494 0.494 0.494
Zr 0.006 0.006 0.006
Zr 0.244 0.244 0.244

Output
ΔE_f, eV per formula unit: -0.109
D(E_F), states/eV per atom: 0.901

***

BaBi3Au3 | PBE-GGA | optimized geometry

Cell: 8.296 8.296 9.198 Å, 63.20 63.20 60.00°
Fractional coordinates of all 14 atoms:
Ba 0.335 0.335 0.996
Ba 0.665 0.665 0.004
Bi 0.368 0.840 0.675
Bi 0.840 0.117 0.675
Bi 0.117 0.368 0.675
Bi 0.883 0.632 0.325
Bi 0.160 0.883 0.325
Bi 0.632 0.160 0.325
Au 0.294 0.493 0.301
Au 0.912 0.294 0.301
Au 0.493 0.912 0.301
Au 0.507 0.088 0.699
Au 0.088 0.706 0.699
Au 0.706 0.507 0.699

Output
Distance to the lowest polymorph of the same formula, meV/atom: 151.5
ΔE_f, eV per formula unit: -1.554
D(E_F), states/eV per atom: 0.344

***

La2Sc2Ga2O | PBE-GGA | optimized geometry

Cell: 4.413 4.413 8.696 Å, 104.70 104.70 90.00°
Fractional coordinates of all 7 atoms:
La 0.169 0.169 0.338
La 0.831 0.831 0.662
Sc 0.000 0.500 0.000
Sc 0.500 0.000 0.000
Ga 0.378 0.378 0.757
Ga 0.622 0.622 0.243
O 0.000 0.000 0.000

Output
Uncorrected formation energy, eV/atom: -1.31
D(E_F), states/eV per atom: 0.427

***

TiAgF2 | PBE-GGA | optimized geometry

Cell: 5.254 5.254 6.825 Å, 67.36 67.36 90.00°
Last column: magnetic moment on the atom in μB.
Fractional coordinates of all 8 atoms:
F 0.406 0.125 0.250  0.00
F 0.344 0.625 0.250  0.00
F 0.375 0.594 0.750  -0.01
F 0.875 0.656 0.750  -0.01
Ag 0.000 0.000 0.000  -0.02
Ag 0.750 0.250 0.500  -0.02
Ti 0.500 0.500 0.000  1.26
Ti 0.250 0.750 0.500  1.26

Output
Distance to the lowest polymorph of the same formula, meV/atom: 376.1
Uncorrected formation energy, eV/atom: -1.53
D(E_F), states/eV per atom: 0.566

***

Zn2SiWI | PBE-GGA | optimized geometry

Cell: 5.070 5.091 5.070 Å, 90.00 90.00 90.00°
Fractional coordinates of all 5 atoms:
I 0.000 0.500 0.000
Zn 0.000 0.000 0.500
Zn 0.500 0.000 0.000
Si 0.500 0.500 0.500
W 0.000 0.000 0.000

Output
Uncorrected formation energy, eV/atom: 1.39
D(E_F), states/eV per atom: 1.423